Computed, not measured: a relaxed CrInSO2 crystal at the PBE with a Hubbard U level of DFT.

Values from the calculation:
Its space group is P4/mmm (123). The total energy comes out at -27.7 eV per cell.

```
CrInSO2
1.0
-0.830 2.963 -2.058
-5.236 -3.743 -3.277
-2.411 1.115 2.578
Cr O In S
1 2 1 1
Cartesian
0.000 0.000 0.000
-1.205 0.558 1.289
-0.415 1.481 -1.029
-2.618 -1.872 -1.638
-4.239 0.167 -1.378
```

=====

Computed, not measured: a relaxed CrInSbO6 crystal at the PBE with a Hubbard U level of DFT.

Values from the calculation:
Its space group is P4_2nm (102). The total energy comes out at -115.0 eV per cell.

```
CrInSbO6
1.0
4.722 0.000 0.000
0.000 4.722 0.000
0.000 0.000 9.493
O Sb In Cr
12 2 2 2
Cartesian
1.506 1.506 0.033
1.416 1.416 3.041
3.217 3.217 0.033
0.856 3.867 4.780
0.946 3.777 7.787
3.346 3.346 6.422
0.985 3.738 1.675
3.867 0.856 4.780
3.777 0.946 7.787
1.377 1.377 6.422
3.738 0.985 1.675
3.307 3.307 3.041
2.361 2.361 7.913
0.000 0.000 3.166
0.000 0.000 9.482
2.361 2.361 4.735
2.361 2.361 1.587
0.000 0.000 6.334
```

=====

Computed, not measured: a relaxed ScCrIn2O crystal at the PBE with a Hubbard U level of DFT.

Values from the calculation:
Its space group is P4/mmm (123). The total energy comes out at -25.4 eV per cell.

```
ScCrIn2O
1.0
-5.007 -2.609 -0.268
1.617 -2.996 -1.024
0.525 -1.563 5.406
Sc In Cr O
1 2 1 1
Cartesian
-1.432 -3.585 2.057
-2.503 -1.305 -0.134
0.263 -0.782 2.703
0.000 0.000 0.000
0.808 -1.498 -0.512
```

=====

Computed, not measured: a relaxed CrInSeO5 crystal at the PBE with a Hubbard U level of DFT.

Values from the calculation:
Its space group is C2/c (15). The total energy comes out at -95.7 eV per cell.

```
CrInSeO5
1.0
5.679 0.850 -0.117
-0.845 5.680 -0.117
-2.226 -3.007 6.996
O In Cr Se
10 2 2 2
Cartesian
-0.912 4.565 1.632
0.063 0.185 4.542
3.519 -1.043 5.130
-0.173 2.874 3.433
3.912 2.178 -0.065
1.336 1.904 5.717
-1.305 1.345 6.827
2.544 3.337 2.219
2.780 0.648 3.329
1.272 1.618 1.044
-1.113 -1.504 3.498
0.000 0.000 0.000
1.997 0.085 5.130
0.611 3.438 1.632
2.940 1.714 1.632
-0.332 1.809 5.130
```

=====

Computed, not measured: a relaxed CrIn2Si2O6 crystal at the PBE with a Hubbard U level of DFT.

Values from the calculation:
Its space group is R-3m (166). The total energy comes out at -71.9 eV per cell.

```
CrIn2Si2O6
1.0
5.530 0.000 0.000
2.765 4.789 0.000
2.765 1.596 5.637
O In Si Cr
6 2 2 1
Cartesian
5.530 1.605 1.207
6.905 3.987 1.207
5.530 4.780 4.430
4.155 2.399 4.430
6.905 2.399 4.430
4.155 3.987 1.207
2.765 1.596 1.945
8.295 4.789 3.692
5.530 3.193 3.985
5.530 3.193 1.653
0.000 0.000 0.000
```

=====

Computed, not measured: a relaxed SmCr2InO8 crystal at the PBE with a Hubbard U level of DFT.

Values from the calculation:
Its space group is I-4m2 (119). The total energy comes out at -83.5 eV per cell.

```
SmCr2InO8
1.0
-5.538 2.284 -0.253
2.490 -1.560 -5.226
-0.430 -5.048 3.207
Sm Cr O In
1 2 8 1
Cartesian
0.000 0.000 0.000
-1.524 0.362 -2.740
-3.746 -1.201 0.107
-0.612 -0.998 -2.171
-3.909 -2.271 -1.223
-4.656 0.125 -0.491
-1.365 -4.044 -1.031
-1.813 -3.575 1.791
-2.128 -0.827 0.536
-3.166 -0.029 -3.134
-4.292 -1.829 1.607
0.268 -3.123 -2.380
```

=====

Computed, not measured: a relaxed CrIn2SnO6 crystal at the PBE with a Hubbard U level of DFT.

Values from the calculation:
Its space group is P1 (1). The total energy comes out at -62.4 eV per cell.

```
CrIn2SnO6
1.0
5.532 -0.107 0.115
2.672 4.704 -0.029
2.834 1.444 4.922
Sn In Cr O
1 2 1 6
Cartesian
2.742 1.516 0.294
5.482 3.054 2.129
2.790 1.434 4.560
8.272 4.547 2.836
4.357 4.741 1.299
4.570 1.351 1.222
3.993 3.013 3.801
6.388 4.360 3.755
6.356 1.527 3.823
7.504 3.126 1.364
```

=====

Computed, not measured: a relaxed SrCr2InO8 crystal at the PBE with a Hubbard U level of DFT.

Values from the calculation:
Its space group is I-4m2 (119). The total energy comes out at -78.0 eV per cell.

```
SrCr2InO8
1.0
6.149 -0.144 0.000
-2.857 5.447 0.000
-1.646 -2.651 5.300
Cr O Sr In
2 8 1 1
Cartesian
1.646 2.651 0.000
3.074 -0.072 2.650
4.403 0.253 1.693
1.746 -0.397 1.693
0.173 -1.449 4.389
3.373 -1.407 3.607
2.776 1.263 3.607
-0.173 1.449 4.389
0.271 2.164 0.911
3.021 3.139 0.911
-1.428 2.723 2.650
0.000 0.000 0.000
```